Record 1
This record from Alexandria via LeMat-Bulk describes crystalline LaPuCdSb at its relaxed geometry. The functional is GGA-PBE.

Calculated values
* total magnetic moment: 6.7 μB per cell
* electronic total energy: -26.079 eV/cell
* formation energy without anion corrections: -0.445 eV/atom
* mass density: 8.903 g cm⁻³

```
LaPuCdSb
1.0
-3.302 -1.040 -4.222
-3.937 -3.753 0.474
-5.234 1.543 0.183
La Pu Cd Sb
1 1 1 1
direct
0.000 0.000 0.000
0.500 0.500 0.500
0.750 0.750 0.750
0.250 0.250 0.250
```

Record 2
This record from Alexandria via LeMat-Bulk describes crystalline RbNF3 at its relaxed geometry. The functional is GGA-PBE.

Calculated values
* relative energy among the computed polymorphs: 1189 meV per atom
* total magnetic moment: 4.6 μB per cell
* electronic total energy: -13.527 eV/cell
* formation energy without anion corrections: 0.276 eV/atom
* mass density: 1.902 g cm⁻³

```
RbNF3
1.0
-3.137 3.151 2.599
-2.105 -4.056 2.376
3.501 0.385 3.758
F N Rb
3 1 1
direct
0.500 0.000 0.500
0.500 0.500 0.000
0.000 0.500 0.500
0.000 0.000 0.000
0.500 0.500 0.500
```

Record 3
This record from Alexandria via LeMat-Bulk describes crystalline UFeC2 at its relaxed geometry. The functional is GGA-PBE.

Calculated values
* formation energy from the elements: -0.15 eV per atom
* total magnetic moment: 0.3 μB per cell
* electronic total energy: -77.559 eV/cell
* mass density: 11.991 g cm⁻³

```
UFeC2
1.0
-0.566 -0.452 3.436
2.996 -1.813 0.255
3.540 6.045 1.378
Fe C U
2 4 2
direct
0.500 0.500 0.000
0.000 0.000 0.000
0.000 0.500 0.361
0.000 0.500 0.152
0.500 0.000 0.639
0.500 0.000 0.848
0.500 0.000 0.316
0.000 0.500 0.684
```

Record 4
This record from Alexandria via LeMat-Bulk describes crystalline MgIn2 at its relaxed geometry. The functional is GGA-PBE.

Calculated values
* formation energy from the elements: -0.03 eV per atom
* total magnetic moment: 0.0 μB per cell
* electronic total energy: -14.315 eV/cell
* mass density: 5.596 g cm⁻³

```
MgIn2
1.0
6.403 0.137 0.093
3.837 5.128 0.093
3.837 1.973 4.734
In Mg
4 2
direct
0.500 0.169 0.831
0.169 0.831 0.500
0.000 0.000 0.000
0.831 0.500 0.169
0.668 0.668 0.668
0.332 0.332 0.332
```

Record 5
This record from Alexandria via LeMat-Bulk describes crystalline PS3I at its relaxed geometry. The functional is GGA-PBE.

Calculated values
* relative energy among the computed polymorphs: 565 meV per atom
* total magnetic moment: 0.0 μB per cell
* electronic total energy: -16.174 eV/cell
* formation energy without anion corrections: 0.634 eV/atom
* mass density: 4.252 g cm⁻³

```
PS3I
1.0
-4.279 0.544 1.682
-0.042 -4.435 1.328
1.767 1.212 4.104
S I P
3 1 1
direct
0.000 0.500 0.000
0.000 0.000 0.500
0.500 0.000 0.000
0.500 0.500 0.500
0.000 0.000 0.000
```

Record 6
This record from Alexandria via LeMat-Bulk describes crystalline LiPt3W at its relaxed geometry. The functional is GGA-PBE.

Calculated values
* formation energy from the elements: 0.74 eV per atom
* relative energy among the computed polymorphs: 84 meV per atom
* total magnetic moment: 0.0 μB per cell
* electronic total energy: -29.285 eV/cell
* mass density: 11.111 g cm⁻³

```
LiPt3W
1.0
4.877 0.000 0.000
0.000 4.877 0.000
0.000 0.000 4.877
Pt Li W
3 1 1
direct
0.000 0.000 0.500
0.500 0.000 0.000
0.000 0.500 0.000
0.500 0.500 0.500
0.000 0.000 0.000
```